1.
The following is a PBE-GGA calculation of a relaxed PrNdSe2O crystal, from Alexandria via LeMat-Bulk.

The structure in CIF format:
```
data_PrNdSe2O
_cell_length_a 4.1356
_cell_length_b 4.1356
_cell_length_c 15.0028
_cell_angle_alpha 90.00
_cell_angle_beta 90.00
_cell_angle_gamma 90.00
_symmetry_space_group_name_H-M 'P 1'
_symmetry_Int_Tables_number 1
loop_
_symmetry_equiv_pos_as_xyz
'x,y,z'
loop_
_atom_site_label
_atom_site_type_symbol
_atom_site_fract_x
_atom_site_fract_y
_atom_site_fract_z
_atom_site_occupancy
Se1 Se 0.0000 0.5000 0.6900 1
O1 O 0.5000 0.5000 0.5000 1
Nd1 Nd 0.0000 0.5000 0.8713 1
Nd2 Nd 0.5000 0.0000 0.1287 1
Se2 Se 0.5000 0.0000 0.9104 1
Pr1 Pr 0.0000 0.5000 0.4212 1
Se3 Se 0.5000 0.0000 0.3100 1
O2 O 0.0000 0.0000 0.5000 1
Pr2 Pr 0.5000 0.0000 0.5788 1
Se4 Se 0.0000 0.5000 0.0896 1
```

Computed properties:
Total magnetic moment   0.00 μB per formula unit
Formation energy from raw total energies   -2360 meV per atom
Space group   P4/nmm (129)

=====

2.
The following is a PBE-GGA calculation of a relaxed Pm3DyAl crystal, from Alexandria via LeMat-Bulk.

The structure in CIF format:
```
data_Pm3DyAl
_cell_length_a 3.6665
_cell_length_b 6.8513
_cell_length_c 12.5722
_cell_angle_alpha 84.64
_cell_angle_beta 90.00
_cell_angle_gamma 74.48
_symmetry_space_group_name_H-M 'P 1'
_symmetry_Int_Tables_number 1
loop_
_symmetry_equiv_pos_as_xyz
'x,y,z'
loop_
_atom_site_label
_atom_site_type_symbol
_atom_site_fract_x
_atom_site_fract_y
_atom_site_fract_z
_atom_site_occupancy
Pm1 Pm 0.0362 0.9277 0.1960 1
Al1 Al 0.4483 0.1034 0.3809 1
Pm2 Pm 0.8571 0.2858 0.5537 1
Al2 Al 0.5517 0.8966 0.6191 1
Dy1 Dy 0.7821 0.4358 0.2541 1
Pm3 Pm 0.1429 0.7142 0.4463 1
Pm4 Pm 0.6367 0.7266 0.9799 1
Pm5 Pm 0.9638 0.0723 0.8040 1
Pm6 Pm 0.3633 0.2734 0.0201 1
Dy2 Dy 0.2179 0.5642 0.7459 1
```

Computed properties:
Formation energy   -0.12 eV/atom
Total magnetic moment   0.00 μB per formula unit
Offset from the most stable computed form   0 meV per atom
Space group   C2/m (12)

=====

3.
The following is a PBE-GGA calculation of a relaxed Ca3TmAl8 crystal, from Alexandria via LeMat-Bulk.

The structure in CIF format:
```
data_Ca3TmAl8
_cell_length_a 5.6077
_cell_length_b 5.6077
_cell_length_c 9.7690
_cell_angle_alpha 73.32
_cell_angle_beta 73.32
_cell_angle_gamma 60.00
_symmetry_space_group_name_H-M 'P 1'
_symmetry_Int_Tables_number 1
loop_
_symmetry_equiv_pos_as_xyz
'x,y,z'
loop_
_atom_site_label
_atom_site_type_symbol
_atom_site_fract_x
_atom_site_fract_y
_atom_site_fract_z
_atom_site_occupancy
Al1 Al 0.4367 0.9353 0.1913 1
Ca1 Ca 0.0001 0.0001 0.9997 1
Al2 Al 0.9376 0.9376 0.6838 1
Ca2 Ca 0.3749 0.3749 0.8753 1
Tm1 Tm 0.8747 0.8747 0.3759 1
Al3 Al 0.9376 0.4409 0.6838 1
Al4 Al 0.6876 0.6876 0.9373 1
Al5 Al 0.4409 0.9376 0.6838 1
Al6 Al 0.9353 0.4367 0.1913 1
Al7 Al 0.1877 0.1877 0.4369 1
Al8 Al 0.4367 0.4367 0.1913 1
Ca3 Ca 0.5002 0.5002 0.4994 1
```

Computed properties:
Formation energy   -0.36 eV/atom
Total magnetic moment   0.00 μB per formula unit
Offset from the most stable computed form   0 meV per atom
Space group   R3m (160)

=====

What did the second record say?
The following is a PBE-GGA calculation of a relaxed Pm3DyAl crystal, from Alexandria via LeMat-Bulk.

The structure in CIF format:
```
data_Pm3DyAl
_cell_length_a 3.6665
_cell_length_b 6.8513
_cell_length_c 12.5722
_cell_angle_alpha 84.64
_cell_angle_beta 90.00
_cell_angle_gamma 74.48
_symmetry_space_group_name_H-M 'P 1'
_symmetry_Int_Tables_number 1
loop_
_symmetry_equiv_pos_as_xyz
'x,y,z'
loop_
_atom_site_label
_atom_site_type_symbol
_atom_site_fract_x
_atom_site_fract_y
_atom_site_fract_z
_atom_site_occupancy
Pm1 Pm 0.0362 0.9277 0.1960 1
Al1 Al 0.4483 0.1034 0.3809 1
Pm2 Pm 0.8571 0.2858 0.5537 1
Al2 Al 0.5517 0.8966 0.6191 1
Dy1 Dy 0.7821 0.4358 0.2541 1
Pm3 Pm 0.1429 0.7142 0.4463 1
Pm4 Pm 0.6367 0.7266 0.9799 1
Pm5 Pm 0.9638 0.0723 0.8040 1
Pm6 Pm 0.3633 0.2734 0.0201 1
Dy2 Dy 0.2179 0.5642 0.7459 1
```

Computed properties:
Formation energy   -0.12 eV/atom
Total magnetic moment   0.00 μB per formula unit
Offset from the most stable computed form   0 meV per atom
Space group   C2/m (12)

=====

Which value of total magnetic moment does entry 2 give? 0.00 μB per formula unit

=====

Which value of total magnetic moment does entry 2 give? 0.00 μB per formula unit